Record 1
Compound: LaIn2W
Source: Alexandria
Functional: PBEsol
Structure: relaxed

The formation energy comes out at 0.389 eV/atom. The value obtained for the relative energy among the computed polymorphs is 14 meV per atom. Its density of states at the Fermi level is 4.272 states/eV/f.u.

Unit cell a=3.5493 b=3.5493 c=7.5550 alpha=90.00 beta=90.00 gamma=90.00
Last column: nearest neighbours and their distance in Å.
Fractional coordinates of all 4 atoms:
La: 0.0000 0.0000 0.0000  4 W 3.20, 5 In 3.24-3.54, 4 La 3.55
In: 0.0000 0.0000 0.4283  4 W 2.80, 4 In 3.10
In: 0.5000 0.5000 0.6687  1 W 3.06, 4 In 3.10
W: 0.5000 0.5000 0.2634  5 In 2.80-3.06

Record 2
Compound: ScCrInAu2
Source: Alexandria
Functional: PBEsol
Structure: relaxed

The formation energy comes out at 0.544 eV/atom. Its density of states at the Fermi level is 5.329 states/eV/f.u.

Unit cell a=4.8241 b=4.8241 c=4.8509 alpha=90.00 beta=90.00 gamma=90.00
Last column: nearest neighbours and their distance in Å.
Fractional coordinates of all 5 atoms:
Sc: 0.0000 0.0000 0.0000  4 In 3.41, 8 Au 3.42
Cr: 0.5000 0.5000 0.5000  4 Au 2.41, 2 In 2.43
In: 0.5000 0.5000 0.0000  2 Cr 2.43
Au: 0.0000 0.5000 0.5000  2 Cr 2.41
Au: 0.5000 0.0000 0.5000  2 Cr 2.41

Record 3
Compound: AlRh2Cl
Source: Alexandria
Functional: PBEsol
Structure: relaxed

The uncorrected formation energy comes out at 0.04 eV per atom. Its density of states at the Fermi level is 4.099 states/eV/f.u.

Unit cell a=2.8831 b=2.8831 c=8.0528 alpha=90.00 beta=90.00 gamma=118.54
Last column: nearest neighbours and their distance in Å.
Fractional coordinates of all 4 atoms:
Al: 0.0000 0.0000 0.0000  2 Rh 2.38, 2 Cl 2.39
Rh: 0.0000 0.0000 0.4997  2 Cl 2.60, 6 Rh 2.61-2.88
Rh: 0.5000 0.5000 0.2320  2 Al 2.38, 2 Rh 2.61
Cl: 0.5000 0.5000 0.7657  2 Al 2.39, 2 Rh 2.60